{"formula": "AcCu5Ag", "functional": "GGA-PBE", "state": "relaxed", "lattice_angstrom": [[8.526, 0.000, 0.000], [0.000, 5.221, 0.000], [0.000, 0.000, 10.600]], "species": ["Ac", "Ac", "Ac", "Ac", "Cu", "Cu", "Cu", "Cu", "Cu", "Cu", "Cu", "Cu", "Cu", "Cu", "Cu", "Cu", "Cu", "Cu", "Cu", "Cu", "Cu", "Cu", "Cu", "Cu", "Ag", "Ag", "Ag", "Ag"], "fractional_positions": [[0.239, 0.250, 0.063], [0.261, 0.750, 0.563], [0.739, 0.250, 0.437], [0.761, 0.750, 0.937], [0.054, 0.750, 0.115], [0.066, 0.000, 0.315], [0.066, 0.500, 0.315], [0.085, 0.250, 0.515], [0.184, 0.250, 0.745], [0.316, 0.750, 0.245], [0.415, 0.750, 0.015], [0.434, 0.000, 0.815], [0.434, 0.500, 0.815], [0.446, 0.250, 0.615], [0.554, 0.750, 0.385], [0.566, 0.000, 0.185], [0.566, 0.500, 0.185], [0.585, 0.250, 0.985], [0.684, 0.250, 0.755], [0.816, 0.750, 0.255], [0.915, 0.750, 0.485], [0.934, 0.000, 0.685], [0.934, 0.500, 0.685], [0.946, 0.250, 0.885], [0.144, 0.750, 0.863], [0.356, 0.250, 0.363], [0.644, 0.750, 0.637], [0.856, 0.250, 0.137]], "formation_energy_mev_per_atom": -123}